# Dy2MgCo | the Alexandria database | PBE | relaxed
data_Dy2MgCo
_chemical_formula_sum 'Dy2 Mg1 Co1'
_space_group_name_H-M_alt 'P 1'
_space_group_IT_number 1
_space_group_name_Hall 'P 1'
_cell_length_a 5.019
_cell_length_b 5.019
_cell_length_c 5.019
_cell_angle_alpha 60.00
_cell_angle_beta 60.00
_cell_angle_gamma 60.00
loop_
_atom_site_label
_atom_site_type_symbol
_atom_site_fract_x
_atom_site_fract_y
_atom_site_fract_z
_atom_site_occupancy
Mg1 Mg 0.500 0.500 0.500 1
Co1 Co 0.000 0.000 0.000 1
Dy1 Dy 0.750 0.750 0.750 1
Dy2 Dy 0.250 0.250 0.250 1
# ΔE_f ... -0.01 eV/atom
# Total moment ... 0.3 μB/f.u.
# Energy above the most stable polymorph in this dataset ... 2.97 kcal/mol of atoms

# SiNi2Ru | the Alexandria database | PBE | relaxed
data_SiNi2Ru
_chemical_formula_sum 'Si1 Ni2 Ru1'
_space_group_name_H-M_alt 'P 1'
_space_group_IT_number 1
_space_group_name_Hall 'P 1'
_cell_length_a 4.063
_cell_length_b 4.063
_cell_length_c 4.063
_cell_angle_alpha 60.00
_cell_angle_beta 60.00
_cell_angle_gamma 60.00
loop_
_atom_site_label
_atom_site_type_symbol
_atom_site_fract_x
_atom_site_fract_y
_atom_site_fract_z
_atom_site_occupancy
Ru1 Ru 0.500 0.500 0.500 1
Si1 Si 0.750 0.750 0.750 1
Ni1 Ni 0.000 0.000 0.000 1
Ni2 Ni 0.250 0.250 0.250 1
# Total energy ... -6.86 eV/atom
# Total moment ... 0.9 μB/f.u.

# Cd2TeOs | the Alexandria database | PBE | relaxed
data_Cd2TeOs
_chemical_formula_sum 'Cd2 Te1 Os1'
_space_group_name_H-M_alt 'P 1'
_space_group_IT_number 1
_space_group_name_Hall 'P 1'
_cell_length_a 3.084
_cell_length_b 3.084
_cell_length_c 9.511
_cell_angle_alpha 90.00
_cell_angle_beta 90.00
_cell_angle_gamma 90.00
loop_
_atom_site_label
_atom_site_type_symbol
_atom_site_fract_x
_atom_site_fract_y
_atom_site_fract_z
_atom_site_occupancy
Cd1 Cd 0.000 0.000 0.441 1
Cd2 Cd 0.000 0.000 0.059 1
Os1 Os 0.500 0.500 0.250 1
Te1 Te 0.500 0.500 0.750 1
# Total energy ... -3.49 eV/atom
# Total moment ... 0.0 μB/f.u.

# TlRu3Br | the Alexandria database | PBE | relaxed
data_TlRu3Br
_chemical_formula_sum 'Tl1 Ru3 Br1'
_space_group_name_H-M_alt 'P 1'
_space_group_IT_number 1
_space_group_name_Hall 'P 1'
_cell_length_a 5.109
_cell_length_b 5.109
_cell_length_c 5.109
_cell_angle_alpha 90.00
_cell_angle_beta 90.00
_cell_angle_gamma 90.00
loop_
_atom_site_label
_atom_site_type_symbol
_atom_site_fract_x
_atom_site_fract_y
_atom_site_fract_z
_atom_site_occupancy
Tl1 Tl 0.000 0.000 0.000 1
Ru1 Ru 0.000 0.500 0.000 1
Ru2 Ru 0.000 0.000 0.500 1
Br1 Br 0.500 0.500 0.500 1
Ru3 Ru 0.500 0.000 0.000 1
# Total moment ... 6.5 μB/f.u.
# Energy above the most stable polymorph in this dataset ... 18.41 kcal/mol of atoms

# TbGdC | the Alexandria database | PBE | relaxed
data_TbGdC
_chemical_formula_sum 'Tb1 Gd1 C1'
_space_group_name_H-M_alt 'P 1'
_space_group_IT_number 1
_space_group_name_Hall 'P 1'
_cell_length_a 3.603
_cell_length_b 3.603
_cell_length_c 6.331
_cell_angle_alpha 90.00
_cell_angle_beta 90.00
_cell_angle_gamma 120.00
loop_
_atom_site_label
_atom_site_type_symbol
_atom_site_fract_x
_atom_site_fract_y
_atom_site_fract_z
_atom_site_occupancy
Gd1 Gd 0.000 0.000 0.117 1
C1 C 0.667 0.333 0.336 1
Tb1 Tb 0.333 0.667 0.547 1
# ΔE_f ... -0.23 eV/atom
# Total moment ... 7.6 μB/f.u.

# KBa2Fe | the Alexandria database | PBE | relaxed
data_KBa2Fe
_chemical_formula_sum 'K1 Ba2 Fe1'
_space_group_name_H-M_alt 'P 1'
_space_group_IT_number 1
_space_group_name_Hall 'P 1'
_cell_length_a 4.202
_cell_length_b 4.202
_cell_length_c 10.920
_cell_angle_alpha 90.00
_cell_angle_beta 90.00
_cell_angle_gamma 90.04
loop_
_atom_site_label
_atom_site_type_symbol
_atom_site_fract_x
_atom_site_fract_y
_atom_site_fract_z
_atom_site_occupancy
Ba1 Ba 0.000 0.000 0.017 1
Ba2 Ba 0.500 0.500 0.327 1
K1 K 0.500 0.500 0.683 1
Fe1 Fe 0.000 0.000 0.473 1
# ΔE_f ... 0.63 eV/atom
# Total moment ... 2.8 μB/f.u.
# Energy above the most stable polymorph in this dataset ... 4.27 kcal/mol of atoms

# Cr2FeTc | the Alexandria database | PBE | relaxed
data_Cr2FeTc
_chemical_formula_sum 'Cr2 Fe1 Tc1'
_space_group_name_H-M_alt 'P 1'
_space_group_IT_number 1
_space_group_name_Hall 'P 1'
_cell_length_a 2.918
_cell_length_b 2.918
_cell_length_c 5.800
_cell_angle_alpha 90.00
_cell_angle_beta 90.00
_cell_angle_gamma 90.00
loop_
_atom_site_label
_atom_site_type_symbol
_atom_site_fract_x
_atom_site_fract_y
_atom_site_fract_z
_atom_site_occupancy
Tc1 Tc 0.500 0.500 0.759 1
Cr1 Cr 0.000 0.000 0.012 1
Cr2 Cr 0.500 0.500 0.252 1
Fe1 Fe 0.000 0.000 0.477 1
# ΔE_f ... 0.10 eV/atom
# Total moment ... 2.0 μB/f.u.
# Energy above the most stable polymorph in this dataset ... 0.05 kcal/mol of atoms

# Gd2TcS | the Alexandria database | PBE | relaxed
data_Gd2TcS
_chemical_formula_sum 'Gd2 Tc1 S1'
_space_group_name_H-M_alt 'P 1'
_space_group_IT_number 1
_space_group_name_Hall 'P 1'
_cell_length_a 3.614
_cell_length_b 3.614
_cell_length_c 8.873
_cell_angle_alpha 78.25
_cell_angle_beta 78.25
_cell_angle_gamma 60.00
loop_
_atom_site_label
_atom_site_type_symbol
_atom_site_fract_x
_atom_site_fract_y
_atom_site_fract_z
_atom_site_occupancy
S1 S 0.500 0.500 0.500 1
Gd1 Gd 0.903 0.903 0.290 1
Tc1 Tc 0.000 0.000 0.000 1
Gd2 Gd 0.097 0.097 0.710 1
# Total energy ... -10.87 eV/atom
# Total moment ... 14.2 μB/f.u.

# LiPr4Ru | the Alexandria database | PBE | relaxed
data_LiPr4Ru
_chemical_formula_sum 'Li2 Pr8 Ru2'
_space_group_name_H-M_alt 'P 1'
_space_group_IT_number 1
_space_group_name_Hall 'P 1'
_cell_length_a 6.371
_cell_length_b 9.428
_cell_length_c 7.965
_cell_angle_alpha 116.44
_cell_angle_beta 100.54
_cell_angle_gamma 111.51
loop_
_atom_site_label
_atom_site_type_symbol
_atom_site_fract_x
_atom_site_fract_y
_atom_site_fract_z
_atom_site_occupancy
Ru1 Ru 0.250 0.000 0.000 1
Li1 Li 0.371 0.621 0.241 1
Pr1 Pr 0.086 0.200 0.830 1
Ru2 Ru 0.750 0.000 0.000 1
Pr2 Pr 0.244 0.630 0.830 1
Pr3 Pr 0.617 0.066 0.341 1
Li2 Li 0.629 0.379 0.759 1
Pr4 Pr 0.756 0.370 0.170 1
Pr5 Pr 0.775 0.725 0.659 1
Pr6 Pr 0.914 0.800 0.170 1
Pr7 Pr 0.383 0.934 0.659 1
Pr8 Pr 0.225 0.275 0.341 1
# ΔE_f ... -0.04 eV/atom
# Total moment ... 0.0 μB/f.u.

# Fe2MoIr | the Alexandria database | PBE | relaxed
data_Fe2MoIr
_chemical_formula_sum 'Fe2 Mo1 Ir1'
_space_group_name_H-M_alt 'P 1'
_space_group_IT_number 1
_space_group_name_Hall 'P 1'
_cell_length_a 4.589
_cell_length_b 4.589
_cell_length_c 4.674
_cell_angle_alpha 80.33
_cell_angle_beta 80.33
_cell_angle_gamma 34.05
loop_
_atom_site_label
_atom_site_type_symbol
_atom_site_fract_x
_atom_site_fract_y
_atom_site_fract_z
_atom_site_occupancy
Ir1 Ir 0.250 0.250 0.250 1
Fe1 Fe 0.995 0.995 0.003 1
Fe2 Fe 0.505 0.505 0.497 1
Mo1 Mo 0.750 0.750 0.750 1
# ΔE_f ... 0.04 eV/atom
# Total moment ... 4.1 μB/f.u.

# SmPa2Te4 | the Alexandria database | PBE | relaxed
data_SmPa2Te4
_chemical_formula_sum 'Sm2 Pa4 Te8'
_space_group_name_H-M_alt 'P 1'
_space_group_IT_number 1
_space_group_name_Hall 'P 1'
_cell_length_a 4.181
_cell_length_b 7.203
_cell_length_c 15.642
_cell_angle_alpha 90.00
_cell_angle_beta 90.00
_cell_angle_gamma 106.87
loop_
_atom_site_label
_atom_site_type_symbol
_atom_site_fract_x
_atom_site_fract_y
_atom_site_fract_z
_atom_site_occupancy
Te1 Te 0.070 0.140 0.250 1
Te2 Te 0.500 0.000 0.000 1
Pa1 Pa 0.850 0.700 0.560 1
Te3 Te 0.207 0.414 0.632 1
Pa2 Pa 0.850 0.700 0.940 1
Pa3 Pa 0.150 0.300 0.060 1
Pa4 Pa 0.150 0.300 0.440 1
Te4 Te 0.793 0.586 0.132 1
Sm1 Sm 0.601 0.202 0.750 1
Te5 Te 0.793 0.586 0.368 1
Te6 Te 0.500 0.000 0.500 1
Te7 Te 0.930 0.860 0.750 1
Sm2 Sm 0.399 0.798 0.250 1
Te8 Te 0.207 0.414 0.868 1
# Total energy ... -6.06 eV/atom
# Total moment ... 3.2 μB/f.u.

# ScPaCuMo | the Alexandria database | PBE | relaxed
data_ScPaCuMo
_chemical_formula_sum 'Sc1 Pa1 Cu1 Mo1'
_space_group_name_H-M_alt 'P 1'
_space_group_IT_number 1
_space_group_name_Hall 'P 1'
_cell_length_a 4.769
_cell_length_b 4.769
_cell_length_c 4.769
_cell_angle_alpha 60.00
_cell_angle_beta 60.00
_cell_angle_gamma 60.00
loop_
_atom_site_label
_atom_site_type_symbol
_atom_site_fract_x
_atom_site_fract_y
_atom_site_fract_z
_atom_site_occupancy
Sc1 Sc 0.000 0.000 0.000 1
Pa1 Pa 0.500 0.500 0.500 1
Mo1 Mo 0.750 0.750 0.750 1
Cu1 Cu 0.250 0.250 0.250 1
# ΔE_f ... 0.02 eV/atom
# Total moment ... 0.0 μB/f.u.

| no. | ρ (g/cm³) |
| --- | --- |
| 1 | 7.6 |
| 2 | 8.6 |
| 3 | 10.0 |
| 4 | 7.3 |
| 5 | 7.7 |
| 6 | 3.2 |
| 7 | 8.7 |
| 8 | 7.6 |
| 9 | 6.2 |
| 10 | 12.2 |
| 11 | 8.3 |
| 12 | 9.4 |